Below is a relaxed Th2Mn2Al2C crystal, with properties calculated at the PBE-GGA level.

Output
- Calculated total energy: -103.42 eV for the cell shown
- Formation energy: -0.2601 eV/atom
- DOS(E_F): 7.33 states/eV/f.u.
- Magnetic moment: 0.00 μB per formula unit

Unit cell a=10.5648 b=4.2842 c=7.1928 alpha=90.00 beta=128.38 gamma=90.00
Space group C2/m (No. 12)
One atom of each set of equivalent atoms:
Th  0.0524  0.0000  0.3225
Mn  0.1957  0.5000  0.7913
Al  0.1660  0.5000  0.1048
C  0.0000  0.5000  0.5000

=====

Below is a relaxed Ba2Cd4SnBi3 crystal, with properties calculated at the PBE-GGA level.

Output
- Calculated total energy: -26.84 eV for the cell shown
- Formation energy: -0.3688 eV/atom
- DOS(E_F): 2.84 states/eV/f.u.
- Magnetic moment: 0.00 μB per formula unit

Unit cell a=5.3964 b=5.3964 c=11.4573 alpha=90.00 beta=90.00 gamma=90.00
Space group P-4m2 (No. 115)
One atom of each set of equivalent atoms:
Ba  0.0000  0.5000  0.2450
Cd  0.0000  0.0000  0.5000
Cd  0.0000  0.5000  0.8818
Cd  0.5000  0.5000  0.5000
Sn  0.5000  0.5000  0.0000
Bi  0.0000  0.0000  0.0000
Bi  0.0000  0.5000  0.6267

=====

Below is a relaxed Tm6Ni5Os crystal, with properties calculated at the PBE-GGA level.

Output
- Calculated total energy: -144.35 eV for the cell shown
- Formation energy: -0.4341 eV/atom
- DOS(E_F): 6.62 states/eV/f.u.
- Magnetic moment: 0.00 μB per formula unit

Unit cell a=4.7434 b=14.1900 c=6.6165 alpha=90.00 beta=90.00 gamma=90.00
Space group Cmmm (No. 65)
One atom of each set of equivalent atoms:
Tm  0.0000  0.0000  0.2495
Tm  0.0000  0.3337  0.2494
Ni  0.0000  0.1661  0.0000
Ni  0.0000  0.1666  0.5000
Ni  0.0000  0.5000  0.5000
Os  0.0000  0.5000  0.0000

=====

The highest formation energy belongs to which entry?
Th2Mn2Al2C

=====

What is the magnetic moment in the second record?
0.00 μB per formula unit

=====

The lowest calculated total energy belongs to which entry?
Tm6Ni5Os